[1]
Below is a geometry-optimized CaFeB3 structure, with properties calculated at the PBE level.

Its energy of formation from the pure elements is 3.235 eV per atom. The excess energy over the best structure of this formula in the dataset comes out at 3037 meV per atom. Its density is 2.5 g cm⁻³.

It has space group Pm-3m (No. 221), with a = 4.3802 Å, b = 4.3802 Å, c = 4.3802 Å, α = 90.00°, β = 90.00° and γ = 90.00°. The distinct sites, in fractional coordinates, are Ca at (0.0000, 0.0000, 0.0000), Fe at (0.5000, 0.5000, 0.5000) and B at (0.0000, 0.0000, 0.5000).

[2]
Below is a geometry-optimized K2RbTl2 structure, with properties calculated at the PBE level.

Its energy of formation from the pure elements is 0.027 eV per atom. The excess energy over the best structure of this formula in the dataset comes out at 77 meV per atom. Its density is 4.1 g cm⁻³.

It has space group P4/mbm (No. 127), with a = 10.7936 Å, b = 10.7936 Å, c = 3.9532 Å, α = 90.00°, β = 90.00° and γ = 90.00°. The distinct sites, in fractional coordinates, are K at (0.1319, 0.3681, 0.0000), Rb at (0.0000, 0.0000, 0.0000) and Tl at (0.1636, 0.6636, 0.5000).

[3]
Below is a geometry-optimized Pm3Ge2O structure, with properties calculated at the PBE level.

The excess energy over the best structure of this formula in the dataset comes out at 111 meV per atom. Its density is 6.9 g cm⁻³. Its raw formation energy is -1348 meV per atom.

It has space group C2/c (No. 15), with a = 13.1432 Å, b = 5.9993 Å, c = 7.5698 Å, α = 90.00°, β = 106.23° and γ = 90.00°. The distinct sites, in fractional coordinates, are Pm at (0.0000, 0.0554, 0.2500), Pm at (0.1426, 0.4910, 0.5782), Ge at (0.1746, 0.0114, 0.0836) and O at (0.0000, 0.4463, 0.2500).

[4]
Below is a geometry-optimized FeRuRh structure, with properties calculated at the PBE level.

Its energy of formation from the pure elements is 0.066 eV per atom. The excess energy over the best structure of this formula in the dataset comes out at 0 meV per atom. Its density is 10.8 g cm⁻³.

It has space group Imm2 (No. 44), with a = 2.6858 Å, b = 3.7150 Å, c = 7.9995 Å, α = 90.00°, β = 90.00° and γ = 90.00°. The distinct sites, in fractional coordinates, are Fe at (0.0000, 0.0000, 0.0000), Ru at (0.0000, 0.0000, 0.3399) and Rh at (0.0000, 0.0000, 0.6685).

[5]
Below is a geometry-optimized BaTlS2Cl structure, with properties calculated at the PBE level.

The excess energy over the best structure of this formula in the dataset comes out at 0 meV per atom. Its density is 5.0 g cm⁻³. Its raw formation energy is -957 meV per atom.

It has space group P4/mmm (No. 123), with a = 5.1947 Å, b = 5.1947 Å, c = 5.4215 Å, α = 90.00°, β = 90.00° and γ = 90.00°. The distinct sites, in fractional coordinates, are Ba at (0.0000, 0.0000, 0.0000), Tl at (0.5000, 0.5000, 0.5000), S at (0.0000, 0.5000, 0.5000) and Cl at (0.5000, 0.5000, 0.0000).

[6]
Below is a geometry-optimized K2RuBr structure, with properties calculated at the PBE level.

The excess energy over the best structure of this formula in the dataset comes out at 107 meV per atom. Its density is 2.5 g cm⁻³. Its raw formation energy is 296 meV per atom.

It has space group I-42d (No. 122), with a = 12.1399 Å, b = 12.1399 Å, c = 4.6450 Å, α = 90.00°, β = 90.00° and γ = 90.00°. The distinct sites, in fractional coordinates, are K at (0.0653, 0.2500, 0.1250), Ru at (0.0000, 0.0000, 0.5000) and Br at (0.0000, 0.0000, 0.0000).

[7]
Below is a geometry-optimized CeDy4Y2 structure, with properties calculated at the PBE level.

Its energy of formation from the pure elements is 0.553 eV per atom. The excess energy over the best structure of this formula in the dataset comes out at 517 meV per atom. Its density is 6.9 g cm⁻³.

It has space group Cmmm (No. 65), with a = 6.1367 Å, b = 12.8481 Å, c = 5.9130 Å, α = 90.00°, β = 90.00° and γ = 90.00°. The distinct sites, in fractional coordinates, are Ce at (0.0000, 0.0000, 0.0000), Dy at (0.0000, 0.1373, 0.5000), Dy at (0.0000, 0.2981, 0.0000) and Y at (0.0000, 0.3888, 0.5000).

[8]
Below is a geometry-optimized NaPaH structure, with properties calculated at the PBE level.

The value obtained for the energy is -4.7212 eV per atom. Its density is 7.4 g cm⁻³.

It has space group P1 (No. 1), with a = 3.2557 Å, b = 3.2560 Å, c = 12.5107 Å, α = 82.57°, β = 89.83° and γ = 60.16°. The distinct sites, in fractional coordinates, are Na at (0.0000, 0.0000, 0.0000), Na at (0.4219, 0.1403, 0.2548), Pa at (0.2549, 0.5008, 0.7460), Pa at (0.8377, 0.3072, 0.5105), H at (0.1368, 0.7101, 0.4025) and H at (0.6242, 0.7585, 0.8613).